DFT (PBE) results for a relaxed YTmPd2Pb crystal.

- E_tot: -5.811 eV/atom
- Size of the total moment: 0.01 μB per cell

Cell: 3.592 7.743 7.743 Å, 31.86 90.00 90.00°
Atoms (fractional coordinates):
Pb1 0.000 0.000 0.000
Pd1 0.000 0.190 0.190
Pd2 0.000 0.806 0.806
Tm1 0.500 0.638 0.638
Y1 0.500 0.366 0.366